[1]
Ca2TmH | PBE | optimized geometry

Unit cell a=3.5597 b=3.5597 c=29.4167 alpha=90.00 beta=90.00 gamma=120.00
Last column: nearest neighbours and their distance in Å.
Sites, in units of the cell vectors:
Ca: 0.0000 0.0000 0.1160  3 H 2.54
Ca: 0.0000 0.0000 0.8840  3 H 2.54
Ca: 0.3333 0.6667 0.5506  3 H 2.54
Ca: 0.3333 0.6667 0.7827  3 H 2.54
Ca: 0.6667 0.3333 0.2173  3 H 2.54
Ca: 0.6667 0.3333 0.4494  3 H 2.54
Tm: 0.0000 0.0000 0.0000  2 Ca 3.41, 6 Tm 3.56
Tm: 0.3333 0.6667 0.6667  2 Ca 3.41, 6 Tm 3.56
Tm: 0.6667 0.3333 0.3333  2 Ca 3.41, 6 Tm 3.56
H: 0.0000 0.0000 0.5000  6 Ca 2.54
H: 0.3333 0.6667 0.1667  6 Ca 2.54
H: 0.6667 0.3333 0.8333  6 Ca 2.54

## Properties
The symmetry is R-3m (166). For the uncorrected energy, the calculation gives -34.242 eV for the cell shown.

[2]
Ca3TmH8 | PBE | optimized geometry

Unit cell a=5.2970 b=5.2970 c=5.2970 alpha=90.00 beta=90.00 gamma=90.00
Last column: nearest neighbours and their distance in Å.
Sites, in units of the cell vectors:
Ca: 0.0000 0.0000 0.5000  8 H 2.32
Ca: 0.0000 0.5000 0.0000  8 H 2.32
Ca: 0.5000 0.0000 0.0000  8 H 2.32
Tm: 0.5000 0.5000 0.5000  8 H 2.22
H: 0.2582 0.2582 0.2582  1 Tm 2.22, 3 Ca 2.32
H: 0.2582 0.2582 0.7418  1 Tm 2.22, 3 Ca 2.32
H: 0.2582 0.7418 0.2582  1 Tm 2.22, 3 Ca 2.32
H: 0.2582 0.7418 0.7418  1 Tm 2.22, 3 Ca 2.32
H: 0.7418 0.2582 0.2582  1 Tm 2.22, 3 Ca 2.32
H: 0.7418 0.2582 0.7418  1 Tm 2.22, 3 Ca 2.32
H: 0.7418 0.7418 0.2582  1 Tm 2.22, 3 Ca 2.32
H: 0.7418 0.7418 0.7418  1 Tm 2.22, 3 Ca 2.32

## Properties
The symmetry is Pm-3m (221). For the uncorrected energy, the calculation gives -44.267 eV for the cell shown.

[3]
Ca3TmH | PBE | optimized geometry

Unit cell a=5.2556 b=5.2556 c=5.2556 alpha=90.00 beta=90.00 gamma=90.00
Last column: nearest neighbours and their distance in Å.
Sites, in units of the cell vectors:
Ca: 0.0000 0.0000 0.5000  2 H 2.63
Ca: 0.0000 0.5000 0.0000  2 H 2.63
Ca: 0.5000 0.0000 0.0000  2 H 2.63
Tm: 0.5000 0.5000 0.5000  12 Ca 3.72
H: 0.0000 0.0000 0.0000  6 Ca 2.63

## Properties
The symmetry is Pm-3m (221). For the uncorrected energy, the calculation gives -13.782 eV for the cell shown.

[4]
Ca2V2H | PBE | optimized geometry

Unit cell a=8.5725 b=8.5725 c=3.4518 alpha=90.00 beta=90.00 gamma=90.00
Last column: nearest neighbours and their distance in Å.
Sites, in units of the cell vectors:
Ca: 0.2079 0.2921 0.0000  6 V 3.14-3.19, 2 Ca 3.45
Ca: 0.2921 0.7921 0.0000  6 V 3.14-3.19, 2 Ca 3.45
Ca: 0.7079 0.2079 0.0000  6 V 3.14-3.19, 2 Ca 3.45
Ca: 0.7921 0.7079 0.0000  6 V 3.14-3.19, 2 Ca 3.45
V: 0.0753 0.5753 0.5000  1 V 1.83
V: 0.4247 0.0753 0.5000  1 V 1.83
V: 0.5753 0.9247 0.5000  1 V 1.83
V: 0.9247 0.4247 0.5000  1 V 1.83
H: 0.0000 0.0000 0.5000  2 H 3.45, 8 Ca 3.52, 4 V 3.70
H: 0.5000 0.5000 0.5000  2 H 3.45, 8 Ca 3.52, 4 V 3.70

## Properties
The symmetry is P4/mbm (127). For the uncorrected energy, the calculation gives -42.625 eV for the cell shown. The value obtained for the distance to the lowest polymorph of the same formula is 0 meV/atom.

[5]
CaV2H | PBE | optimized geometry

Unit cell a=5.6507 b=5.6507 c=5.6507 alpha=60.00 beta=60.00 gamma=60.00
Last column: nearest neighbours and their distance in Å.
Sites, in units of the cell vectors:
Ca: 0.1250 0.1250 0.1250  12 V 3.31, 4 Ca 3.46, 4 H 3.46
Ca: 0.8750 0.8750 0.8750  12 V 3.31, 4 H 3.46, 4 Ca 3.46
V: 0.0000 0.5000 0.5000  2 H 1.73
V: 0.5000 0.0000 0.5000  2 H 1.73
V: 0.5000 0.5000 0.0000  2 H 1.73
V: 0.5000 0.5000 0.5000  2 H 1.73
H: 0.3750 0.3750 0.3750  4 V 1.73
H: 0.6250 0.6250 0.6250  4 V 1.73

## Properties
The symmetry is Fd-3m (227). For the uncorrected energy, the calculation gives -44.283 eV for the cell shown. The value obtained for the distance to the lowest polymorph of the same formula is 0 meV/atom.

[6]
CaV2H | PBE | optimized geometry

Unit cell a=6.7957 b=6.7957 c=6.7957 alpha=90.00 beta=90.00 gamma=90.00
Last column: nearest neighbours and their distance in Å.
Sites, in units of the cell vectors:
Ca: 0.0000 0.0000 0.0000  8 V 2.94
Ca: 0.0000 0.5000 0.5000  8 V 2.94
Ca: 0.5000 0.0000 0.5000  8 V 2.94
Ca: 0.5000 0.5000 0.0000  8 V 2.94
V: 0.2500 0.2500 0.2500  4 H 2.94, 4 Ca 2.94
V: 0.2500 0.2500 0.7500  4 H 2.94, 4 Ca 2.94
V: 0.2500 0.7500 0.2500  4 H 2.94, 4 Ca 2.94
V: 0.2500 0.7500 0.7500  4 H 2.94, 4 Ca 2.94
V: 0.7500 0.2500 0.2500  4 H 2.94, 4 Ca 2.94
V: 0.7500 0.2500 0.7500  4 H 2.94, 4 Ca 2.94
V: 0.7500 0.7500 0.2500  4 H 2.94, 4 Ca 2.94
V: 0.7500 0.7500 0.7500  4 H 2.94, 4 Ca 2.94
H: 0.0000 0.0000 0.5000  8 V 2.94
H: 0.0000 0.5000 0.0000  8 V 2.94
H: 0.5000 0.0000 0.0000  8 V 2.94
H: 0.5000 0.5000 0.5000  8 V 2.94

## Properties
The symmetry is Fm-3m (225). For the uncorrected energy, the calculation gives -69.361 eV for the cell shown. The value obtained for the distance to the lowest polymorph of the same formula is 1200 meV/atom.

[7]
CaVH3 | PBE | optimized geometry

Unit cell a=4.0430 b=4.0430 c=4.0430 alpha=90.00 beta=90.00 gamma=90.00
Last column: nearest neighbours and their distance in Å.
Sites, in units of the cell vectors:
Ca: 0.0000 0.0000 0.0000  6 H 2.02
V: 0.5000 0.5000 0.5000  12 H 2.86
H: 0.0000 0.0000 0.5000  2 Ca 2.02
H: 0.0000 0.5000 0.0000  2 Ca 2.02
H: 0.5000 0.0000 0.0000  2 Ca 2.02

## Properties
The symmetry is Pm-3m (221). For the uncorrected energy, the calculation gives -18.663 eV for the cell shown. The value obtained for the distance to the lowest polymorph of the same formula is 754 meV/atom.

[8]
CaVH4 | PBE | optimized geometry

Unit cell a=3.1810 b=3.1810 c=5.0743 alpha=90.00 beta=90.00 gamma=90.00
Last column: nearest neighbours and their distance in Å.
Sites, in units of the cell vectors:
Ca: 0.0000 0.0000 0.0000  8 H 2.23
V: 0.5000 0.5000 0.5000  8 H 1.86
H: 0.0000 0.5000 0.3083  2 V 1.86, 1 H 1.95
H: 0.0000 0.5000 0.6917  2 V 1.86, 1 H 1.95
H: 0.5000 0.0000 0.3083  2 V 1.86, 1 H 1.95
H: 0.5000 0.0000 0.6917  2 V 1.86, 1 H 1.95

## Properties
The symmetry is P4/mmm (123). For the uncorrected energy, the calculation gives -26.086 eV for the cell shown.

[9]
Ca2V2H | PBE | optimized geometry

Unit cell a=6.0074 b=6.0074 c=6.0814 alpha=90.00 beta=90.00 gamma=90.00
Last column: nearest neighbours and their distance in Å.
Sites, in units of the cell vectors:
Ca: 0.0000 0.5000 0.2500  2 Ca 3.04, 4 V 3.06, 4 H 3.37
Ca: 0.0000 0.5000 0.7500  2 Ca 3.04, 4 V 3.06, 4 H 3.37
Ca: 0.5000 0.0000 0.2500  2 Ca 3.04, 4 V 3.06, 4 H 3.37
Ca: 0.5000 0.0000 0.7500  2 Ca 3.04, 4 V 3.06, 4 H 3.37
V: 0.0000 0.0000 0.1527  1 V 1.86
V: 0.0000 0.0000 0.8473  1 V 1.86
V: 0.5000 0.5000 0.3473  1 V 1.86
V: 0.5000 0.5000 0.6527  1 V 1.86
H: 0.0000 0.0000 0.5000  2 V 2.11
H: 0.5000 0.5000 0.0000  2 V 2.11

## Properties
The symmetry is I4/mmm (139). For the uncorrected energy, the calculation gives -41.253 eV for the cell shown. The value obtained for the distance to the lowest polymorph of the same formula is 137 meV/atom.

[10]
CaVH3 | PBE | optimized geometry

Unit cell a=3.6880 b=3.6880 c=3.6880 alpha=90.00 beta=90.00 gamma=90.00
Last column: nearest neighbours and their distance in Å.
Sites, in units of the cell vectors:
Ca: 0.0000 0.0000 0.0000  12 H 2.61
V: 0.5000 0.5000 0.5000  6 H 1.84
H: 0.0000 0.5000 0.5000  2 V 1.84
H: 0.5000 0.0000 0.5000  2 V 1.84
H: 0.5000 0.5000 0.0000  2 V 1.84

## Properties
The symmetry is Pm-3m (221). For the uncorrected energy, the calculation gives -22.435 eV for the cell shown. The value obtained for the distance to the lowest polymorph of the same formula is 0 meV/atom.

- What is the uncorrected energy in the tenth record?
  -22.435 eV for the cell shown

Copy entry 1 word for word.
Ca2TmH | PBE | optimized geometry

Unit cell a=3.5597 b=3.5597 c=29.4167 alpha=90.00 beta=90.00 gamma=120.00
Last column: nearest neighbours and their distance in Å.
Sites, in units of the cell vectors:
Ca: 0.0000 0.0000 0.1160  3 H 2.54
Ca: 0.0000 0.0000 0.8840  3 H 2.54
Ca: 0.3333 0.6667 0.5506  3 H 2.54
Ca: 0.3333 0.6667 0.7827  3 H 2.54
Ca: 0.6667 0.3333 0.2173  3 H 2.54
Ca: 0.6667 0.3333 0.4494  3 H 2.54
Tm: 0.0000 0.0000 0.0000  2 Ca 3.41, 6 Tm 3.56
Tm: 0.3333 0.6667 0.6667  2 Ca 3.41, 6 Tm 3.56
Tm: 0.6667 0.3333 0.3333  2 Ca 3.41, 6 Tm 3.56
H: 0.0000 0.0000 0.5000  6 Ca 2.54
H: 0.3333 0.6667 0.1667  6 Ca 2.54
H: 0.6667 0.3333 0.8333  6 Ca 2.54

## Properties
The symmetry is R-3m (166). For the uncorrected energy, the calculation gives -34.242 eV for the cell shown.